# 1
This record from Alexandria describes a geometry-optimized Ac2SbH structure. The functional is GGA-PBE.

The structure belongs to space group P2/c (No. 13); the cell edges are 6.726, 6.723 and 13.089 Å and the angles 90.00°, 119.36° and 90.00°. The distinct sites, in fractional coordinates, are Ac at (0.096, 0.235, 0.091), Ac at (0.324, 0.238, 0.840), Sb at (0.373, 0.264, 0.376) and H at (0.001, 0.121, 0.874).

Its total magnetization is 0.2562 μB per atom. The energy relative to the lowest polymorph listed for this composition is 30 meV per atom.



# 2
This record from Alexandria describes a geometry-optimized PrDyY2 structure. The functional is GGA-PBE.

The structure belongs to space group Imm2 (No. 44); the cell edges are 3.678, 11.499 and 6.325 Å and the angles 90.00°, 90.00° and 90.00°. The distinct sites, in fractional coordinates, are Pr at (0.000, 0.000, 0.000), Dy at (0.000, 0.500, 0.996) and Y at (0.000, 0.248, 0.663).

Its total magnetization is 0.0001 μB per atom. Its formation enthalpy at 0 K is 0.02 eV per atom. The energy relative to the lowest polymorph listed for this composition is 0 meV per atom.



# 3
This record from Alexandria describes a geometry-optimized Cs3Sm2SnSe6 structure. The functional is GGA-PBE.

The structure belongs to space group C2/m (No. 12); the cell edges are 7.528, 13.040 and 8.734 Å and the angles 90.00°, 106.69° and 90.00°. The distinct sites, in fractional coordinates, are Cs at (0.000, 0.000, 0.000), Cs at (0.000, 0.333, 0.000), Sm at (0.000, 0.167, 0.500), Sn at (0.000, 0.500, 0.500), Se at (0.227, 0.335, 0.687) and Se at (0.232, 0.000, 0.687).

Its total magnetization is 0.0000 μB per atom. Its formation energy from raw total energies is -1.370 eV/atom.



Question: Number 3 is which compound?
Answer: Cs3Sm2SnSe6